Compound: CrAg2Pt
Source: the Alexandria database
Functional: PBE-GGA
Structure: optimized geometry

Values from the calculation:
- Calculated formation energy: 121 meV/atom
- ΔE to the lowest computed polymorph: 2.6 kJ/mol of atoms
- Magnetization: 7.71 μB/cell
- DOS(E_F): 3.131 states/eV per cell

a = 9.740 Å, b = 2.903 Å, c = 4.765 Å
α = 90.00°, β = 100.66°, γ = 90.00°
Space group C2/m (No. 12)
Symmetry-distinct sites (fractional):
Cr 0.000 0.000 0.000 [2 per cell]
Ag 0.249 0.000 0.750 [4 per cell]
Pt 0.000 0.500 0.500 [2 per cell]